Entry 1:
The following is a DFT calculation (PBE-GGA) of Ac2SnPt after structural relaxation.

Output
For the formation energy from the elements, the calculation gives 0.002 eV per atom. Its final energy is -4.563 eV per atom. As for the total moment: 0.000 μB per atom.

abc: 3.990 3.990 10.830
angles: 79.38 79.38 60.00
Fractional positions:
Sn 0.500 0.500 0.500
Ac 0.087 0.087 0.740
Ac 0.913 0.913 0.260
Pt 0.000 0.000 0.000


Entry 2:
The following is a DFT calculation (PBE-GGA) of LiAg2F4 after structural relaxation.

Output
Its final energy is -3.721 eV per atom. As for the total moment: 0.018 μB per atom. Its formation energy (no corrections) is -10.9 eV/f.u.

abc: 8.096 8.096 6.195
angles: 90.00 90.00 90.13
Last column: magnetic moment on the atom in μB.
Fractional positions:
F 0.765 0.450 0.205  0.02
F 0.265 0.950 0.295  0.02
F 0.235 0.550 0.205  0.02
F 0.450 0.233 0.299  0.01
F 0.267 0.050 0.799  0.01
F 0.550 0.235 0.795  0.02
F 0.767 0.550 0.701  0.01
F 0.733 0.950 0.799  0.01
F 0.450 0.765 0.795  0.02
F 0.950 0.733 0.201  0.01
F 0.735 0.050 0.295  0.02
F 0.050 0.735 0.705  0.02
F 0.950 0.265 0.705  0.02
F 0.550 0.767 0.299  0.01
F 0.050 0.267 0.201  0.01
F 0.233 0.450 0.701  0.01
Ag 0.341 0.659 0.500  0.12
Ag 0.159 0.841 0.000  0.12
Ag 0.659 0.341 0.500  0.12
Ag 0.838 0.838 0.500  -0.05
Ag 0.841 0.159 0.000  0.12
Ag 0.162 0.162 0.500  -0.05
Ag 0.338 0.338 0.000  -0.05
Ag 0.662 0.662 0.000  -0.05
Li 0.000 0.500 0.724  0.00
Li 0.500 0.000 0.276  0.00
Li 0.000 0.500 0.224  0.00
Li 0.500 0.000 0.776  0.00